Below is a relaxed KPdPbCl6 crystal, with properties calculated at the PBE level.

## Properties
Calculated density ... 3.304 Mg/m³
E ... -3.31 eV/atom
Formation energy (no corrections) ... -0.96 eV/atom

a = 7.1090 Å, b = 7.1090 Å, c = 12.9863 Å
α = 90.00°, β = 90.00°, γ = 120.00°
Space group P-31c (No. 163)
Unique sites:
K 0.0000 0.0000 0.0000
Pd 0.3333 0.6667 0.2500
Pb 0.3333 0.6667 0.7500
Cl 0.0504 0.3942 0.1393

Below is a relaxed TiTl2Pb2 crystal, with properties calculated at the PBE level.

## Properties
Calculated density ... 9.742 Mg/m³
E ... -3.65 eV/atom
Energy above the lowest structure with this stoichiometry ... 0.000 eV/atom
ΔH_f (0 K) ... 1.8 eV per formula unit

a = 7.633 Å, b = 7.633 Å, c = 5.096 Å
α = 90.00°, β = 90.00°, γ = 90.00°
Space group P4/mbm (No. 127)
Unique sites:
Ti 0.000 0.000 0.000
Tl 0.165 0.335 0.500
Pb 0.150 0.650 0.000

Q: Among the records above, which one has the lowest E?
A: TiTl2Pb2